# 1
Below is crystalline Al2In2Se at its relaxed geometry, with properties calculated at the PBE level.

Calculated values
Final energy   -3.236 eV/atom
Space-group type   P4/mbm, No. 127
N(E_F)   4.39 states/eV/cell

a = 7.1319 Å, b = 7.1319 Å, c = 4.5799 Å
α = 90.00°, β = 90.00°, γ = 90.00°
Fractional positions:
Al: 0.1369 0.3631 0.0000
Al: 0.3631 0.8631 0.0000
Al: 0.6369 0.1369 0.0000
Al: 0.8631 0.6369 0.0000
In: 0.1694 0.6694 0.5000
In: 0.3306 0.1694 0.5000
In: 0.6694 0.8306 0.5000
In: 0.8306 0.3306 0.5000
Se: 0.0000 0.0000 0.0000
Se: 0.5000 0.5000 0.0000

# 2
Below is crystalline AlInSe2 at its relaxed geometry, with properties calculated at the PBE level.

Calculated values
Final energy   -3.516 eV/atom
Space-group type   I-4m2, No. 119
N(E_F)   1.21 states/eV/cell

a = 7.9959 Å, b = 7.9959 Å, c = 7.9959 Å
α = 152.09°, β = 152.09°, γ = 39.88°
Fractional positions:
Al: 0.0000 0.0000 0.0000
In: 0.2500 0.7500 0.5000
Se: 0.5000 0.5000 0.0000
Se: 0.7500 0.2500 0.5000